Record 1
Computed, not measured: a relaxed SmThMgTl crystal at the PBE level of DFT.

Output
Total DFT energy (no corrections), eV per atom: -4.130
Symmetry: F-43m

abc: 5.461 5.461 5.461
angles: 60.00 60.00 60.00
Positions (direct):
Mg1 0.000 0.000 0.000
Tl1 0.500 0.500 0.500
Sm1 0.750 0.750 0.750
Th1 0.250 0.250 0.250

Record 2
Computed, not measured: a relaxed CuPRuCl2 crystal at the PBE level of DFT.

Output
Distance to the lowest polymorph of the same formula, eV per atom: 0.0000
Total DFT energy (no corrections), eV per atom: -4.027
Formation energy from raw total energies, meV per atom: 468
Symmetry: P4/mmm

abc: 4.939 4.430 4.939
angles: 90.00 90.00 90.00
Positions (direct):
Ru1 0.000 0.000 0.000
P1 0.000 0.500 0.000
Cu1 0.500 0.500 0.500
Cl1 0.000 0.000 0.500
Cl2 0.500 0.000 0.000

Record 3
Computed, not measured: a relaxed Tb2Y12Tm5 crystal at the PBE level of DFT.

Output
Distance to the lowest polymorph of the same formula, eV per atom: 0.0867
Total DFT energy (no corrections), eV per atom: -5.598
Symmetry: C2/m

abc: 8.927 9.239 8.561
angles: 91.70 90.00 118.89
Positions (direct):
Tb1 0.783 0.000 0.000
Tb2 0.217 0.000 0.000
Y1 0.840 0.679 0.129
Y2 0.017 0.628 0.778
Y3 0.611 0.628 0.778
Y4 0.188 0.782 0.387
Y5 0.594 0.782 0.387
Y6 0.446 0.891 0.725
Y7 0.554 0.109 0.275
Y8 0.812 0.218 0.613
Y9 0.406 0.218 0.613
Y10 0.983 0.372 0.222
Y11 0.389 0.372 0.222
Y12 0.160 0.321 0.871
Tm1 0.242 0.484 0.551
Tm2 0.352 0.704 0.055
Tm3 0.000 0.000 0.500
Tm4 0.648 0.296 0.945
Tm5 0.758 0.516 0.449

Record 4
Computed, not measured: a relaxed SmBiBr6 crystal at the PBE level of DFT.

Output
Total DFT energy (no corrections), eV per atom: -3.593
Formation energy from raw total energies, meV per atom: -1263
Symmetry: C2/m

abc: 7.593 7.593 7.125
angles: 97.93 97.93 123.99
Positions (direct):
Sm1 0.500 0.500 0.500
Bi1 0.000 0.000 0.000
Br1 0.603 0.897 0.749
Br2 0.897 0.603 0.749
Br3 0.103 0.397 0.251
Br4 0.397 0.103 0.251
Br5 0.252 0.252 0.749
Br6 0.748 0.748 0.251

Record 5
Computed, not measured: a relaxed CeSc3F crystal at the PBE level of DFT.

Output
Total DFT energy (no corrections), eV per atom: -6.135
Formation energy from raw total energies, meV per atom: -775
Symmetry: Pm-3m

abc: 4.741 4.741 4.741
angles: 90.00 90.00 90.00
Each line ends with the local moment (μB).
Positions (direct):
Sc1 0.000 0.500 0.000  0.02
Sc2 0.000 0.000 0.500  0.02
Sc3 0.500 0.000 0.000  0.02
Ce1 0.500 0.500 0.500  0.57
F1 0.000 0.000 0.000  0.00

Record 6
Computed, not measured: a relaxed PmSmPBr crystal at the PBE level of DFT.

Output
Total DFT energy (no corrections), eV per atom: -5.622
Formation energy from raw total energies, meV per atom: -1484
Symmetry: R3m

abc: 4.061 4.062 7.793
angles: 90.00 105.09 120.01
Positions (direct):
Pm1 0.105 0.950 0.070
Sm1 0.501 0.148 0.665
P1 0.304 0.550 0.870
Br1 0.968 0.382 0.365